Entry 1:
GGA-PBEsol ZnNi2Ir, relaxed; DFT formation energy = -0.0538 eV per atom; crystal system = monoclinic
1.0
2.6319 0.0000 0.0000
0.0000 4.3716 0.0015
0.0000 -1.3671 4.1876
Ir Ni Zn
1 2 1
direct
0.0000 0.5000 0.5000
0.5000 0.0000 0.5000
0.0000 0.0000 0.0000
0.5000 0.5000 0.0000



Entry 2:
GGA-PBEsol CrFe2CuMo, relaxed; DFT formation energy = 1.3505 eV per atom; crystal system = tetragonal
1.0
4.1526 0.0000 0.0000
0.0000 4.1526 0.0000
0.0000 0.0000 4.3498
Fe Cr Mo Cu
2 1 1 1
direct
0.5000 0.0000 0.0000
0.0000 0.5000 0.0000
0.0000 0.0000 0.0000
0.0000 0.0000 0.5000
0.5000 0.5000 0.5000



Entry 3:
GGA-PBEsol ScRe3Ag, relaxed; DFT formation energy = 2.5623 eV per atom; crystal system = cubic
1.0
4.5225 0.0000 0.0000
0.0000 4.5225 0.0000
0.0000 0.0000 4.5225
Re Ag Sc
3 1 1
direct
0.0000 0.5000 0.0000
0.0000 0.0000 0.5000
0.5000 0.0000 0.0000
0.5000 0.5000 0.5000
0.0000 0.0000 0.0000



Entry 4:
GGA-PBEsol Zr2CdRu, relaxed; DFT formation energy = -0.3418 eV per atom; crystal system = tetragonal
1.0
3.2186 0.0000 0.0000
0.0000 3.2186 0.0000
0.0000 0.0000 7.3126
Zr Cd Ru
2 1 1
direct
0.0000 0.0000 0.7201
0.0000 0.0000 0.2799
0.5000 0.5000 0.0000
0.5000 0.5000 0.5000



Entry 5:
GGA-PBEsol Cr3Ir, relaxed; DFT formation energy = 0.0263 eV per atom; crystal system = tetragonal
1.0
-0.2826 0.6041 2.7593
-2.0441 -1.9575 0.2192
4.0868 -4.1196 1.3205
Ir Cr
1 3
direct
0.5000 0.5000 0.0000
0.5000 0.5000 0.5000
0.0000 0.0000 0.2792
0.0000 0.0000 0.7208



Entry 6:
GGA-PBEsol AlFeCl, relaxed; crystal system = trigonal; raw formation energy = -0.060 eV per atom
1.0
3.0581 0.0000 0.0000
-1.5290 2.6484 0.0000
0.0000 0.0000 5.4061
Fe Al Cl
1 1 1
direct
0.6667 0.3333 0.3305
0.0000 0.0000 0.0257
0.3333 0.6667 0.6438